1.
Computed, not measured: crystalline Ga3Pt at its relaxed geometry at the PBE level of DFT.

Summary:
Its total energy is -0.290 Ry/atom. The density of states at the Fermi level comes out at 1.87 states/eV/f.u. For the total magnetic moment, the calculation gives 0.000 μB/cell. The space group is P6_3/mmc (194). The value obtained for the relative energy among the computed polymorphs is 1.12 eV per formula unit.

Unit cell a=6.054 b=6.054 c=4.317 alpha=90.00 beta=90.00 gamma=120.00
Fractional coordinates of all 8 atoms:
1 Ga 0.344 0.172 0.750
2 Ga 0.828 0.172 0.750
3 Ga 0.656 0.828 0.250
4 Ga 0.172 0.344 0.250
5 Ga 0.828 0.656 0.750
6 Ga 0.172 0.828 0.250
7 Pt 0.333 0.667 0.750
8 Pt 0.667 0.333 0.250



2.
Computed, not measured: crystalline Ga3Pt at its relaxed geometry at the PBE level of DFT.

Summary:
Its total energy is -0.308 Ry/atom. The density of states at the Fermi level comes out at 0.64 states/eV/f.u. For the total magnetic moment, the calculation gives 0.000 μB/cell. The space group is P4_2/n (86). The value obtained for the relative energy among the computed polymorphs is 0.17 eV per formula unit.

Unit cell a=4.867 b=10.630 c=10.630 alpha=90.00 beta=90.00 gamma=90.00
Fractional coordinates of all 32 atoms:
1 Ga 0.002 0.575 0.897
2 Ga 0.515 0.235 0.688
3 Ga 0.270 0.869 0.980
4 Ga 0.002 0.425 0.103
5 Ga 0.998 0.897 0.425
6 Ga 0.730 0.020 0.869
7 Ga 0.015 0.188 0.265
8 Ga 0.730 0.980 0.131
9 Ga 0.498 0.075 0.397
10 Ga 0.770 0.480 0.631
11 Ga 0.502 0.603 0.075
12 Ga 0.985 0.735 0.188
13 Ga 0.515 0.765 0.312
14 Ga 0.270 0.131 0.020
15 Ga 0.985 0.265 0.812
16 Ga 0.015 0.812 0.735
17 Ga 0.230 0.369 0.480
18 Ga 0.485 0.688 0.765
19 Ga 0.502 0.397 0.925
20 Ga 0.230 0.631 0.520
21 Ga 0.998 0.103 0.575
22 Ga 0.770 0.520 0.369
23 Ga 0.498 0.925 0.603
24 Ga 0.485 0.312 0.235
25 Pt 0.766 0.780 0.960
26 Pt 0.234 0.040 0.780
27 Pt 0.734 0.720 0.540
28 Pt 0.766 0.220 0.040
29 Pt 0.734 0.280 0.460
30 Pt 0.266 0.540 0.280
31 Pt 0.234 0.960 0.220
32 Pt 0.266 0.460 0.720



3.
Computed, not measured: crystalline Ga3Pt2 at its relaxed geometry at the PBE level of DFT.

Summary:
Its total energy is -0.348 Ry/atom. The density of states at the Fermi level comes out at 1.66 states/eV/f.u. For the total magnetic moment, the calculation gives 0.000 μB/cell. The space group is Fddd (70). The value obtained for the relative energy among the computed polymorphs is 0.55 eV per formula unit.

Unit cell a=6.449 b=6.449 c=9.661 alpha=111.26 beta=111.26 gamma=85.03
Fractional coordinates of all 20 atoms:
1 Ga 0.097 0.597 0.500
2 Ga 0.013 0.139 0.660
3 Ga 0.153 0.153 0.000
4 Ga 0.646 0.521 0.660
5 Ga 0.389 0.763 0.160
6 Ga 0.479 0.354 0.340
7 Ga 0.771 0.396 0.160
8 Ga 0.237 0.611 0.840
9 Ga 0.847 0.847 0.000
10 Ga 0.403 0.903 0.500
11 Ga 0.604 0.229 0.840
12 Ga 0.861 0.987 0.340
13 Pt 0.124 0.624 0.247
14 Pt 0.376 0.876 0.753
15 Pt 0.701 0.701 0.403
16 Pt 0.126 0.126 0.253
17 Pt 0.549 0.049 0.097
18 Pt 0.299 0.299 0.597
19 Pt 0.951 0.451 0.903
20 Pt 0.874 0.874 0.747



4.
Computed, not measured: crystalline GaPt3 at its relaxed geometry at the PBE level of DFT.

Summary:
Its total energy is -0.423 Ry/atom. The density of states at the Fermi level comes out at 2.19 states/eV/f.u. For the total magnetic moment, the calculation gives 0.000 μB/cell. The space group is I4/mcm (140).

Unit cell a=5.602 b=5.602 c=5.602 alpha=120.69 beta=120.69 gamma=88.81
Fractional coordinates of all 8 atoms:
1 Pt 0.208 0.708 0.917
2 Pt 0.792 0.292 0.083
3 Pt 0.708 0.792 0.500
4 Pt 0.292 0.208 0.500
5 Pt 0.250 0.250 0.000
6 Pt 0.750 0.750 0.000
7 Ga 0.250 0.750 0.500
8 Ga 0.750 0.250 0.500



5.
Computed, not measured: crystalline GaPt3 at its relaxed geometry at the PBE level of DFT.

Summary:
Its total energy is -0.415 Ry/atom. The density of states at the Fermi level comes out at 3.37 states/eV/f.u. For the total magnetic moment, the calculation gives 0.000 μB/cell. The space group is Imm2 (44).

Unit cell a=2.825 b=4.765 c=5.363 alpha=116.38 beta=105.27 gamma=90.00
Fractional coordinates of all 4 atoms:
1 Pt 0.733 0.099 0.466
2 Pt 0.267 0.633 0.534
3 Pt 0.500 0.456 0.000
4 Ga 0.000 0.979 0.000



6.
Computed, not measured: crystalline GaPt3 at its relaxed geometry at the PBE level of DFT.

Summary:
Its total energy is -0.414 Ry/atom. The density of states at the Fermi level comes out at 2.50 states/eV/f.u. For the total magnetic moment, the calculation gives 0.000 μB/cell. The space group is I4/mcm (140).

Unit cell a=6.654 b=6.654 c=5.664 alpha=90.00 beta=90.00 gamma=90.00
Fractional coordinates of all 16 atoms:
1 Pt 0.266 0.766 0.000
2 Pt 0.500 0.500 0.250
3 Pt 0.766 0.734 0.000
4 Pt 0.734 0.766 0.500
5 Pt 0.234 0.266 0.000
6 Pt 0.000 0.000 0.750
7 Pt 0.734 0.234 0.000
8 Pt 0.266 0.234 0.500
9 Pt 0.000 0.000 0.250
10 Pt 0.766 0.266 0.500
11 Pt 0.500 0.500 0.750
12 Pt 0.234 0.734 0.500
13 Ga 0.000 0.500 0.250
14 Ga 0.500 0.000 0.750
15 Ga 0.500 0.000 0.250
16 Ga 0.000 0.500 0.750



Which value of total magnetic moment does entry 4 give?
0.000 μB/cell



Number 6 is which compound?
GaPt3



total magnetic moment of number 5 (GaPt3)?
0.000 μB/cell